No. 1
# GGA-PBE Tm2PaN3, relaxed
data_Tm2PaN3
_space_group_name_H-M_alt 'C 1 2/m 1'
_space_group_IT_number 12
_space_group_name_Hall '-C 2y'
_cell_length_a 13.145
_cell_length_b 3.376
_cell_length_c 8.378
_cell_angle_alpha 90.00
_cell_angle_beta 109.23
_cell_angle_gamma 90.00
loop_
_atom_site_label
_atom_site_fract_x
_atom_site_fract_y
_atom_site_fract_z
_atom_site_occupancy
Tm1 0.171 0.000 0.338 1
Tm2 0.172 0.500 0.837 1
Pa1 0.000 0.000 0.500 1
Pa2 0.000 0.500 0.000 1
N1 0.030 0.000 0.800 1
N2 0.138 0.500 0.525 1
N3 0.188 0.500 0.133 1
# - total moment (μB per atom) = 0.010
# - E_tot (eV per atom) = -8.58
# - E_form (uncorrected) (eV per atom) = -1.34

No. 2
# GGA-PBE Tm3PaN4, relaxed
data_Tm3PaN4
_space_group_name_H-M_alt 'C m m m'
_space_group_IT_number 65
_space_group_name_Hall '-C 2 2'
_cell_length_a 6.862
_cell_length_b 9.652
_cell_length_c 3.440
_cell_angle_alpha 90.00
_cell_angle_beta 90.00
_cell_angle_gamma 90.00
loop_
_atom_site_label
_atom_site_fract_x
_atom_site_fract_y
_atom_site_fract_z
_atom_site_occupancy
Tm1 0.000 0.000 0.000 1
Tm2 0.250 0.250 0.500 1
Pa1 0.000 0.500 0.000 1
N1 0.000 0.256 0.000 1
N2 0.248 0.500 0.500 1
# - total moment (μB per atom) = 0.000
# - E_tot (eV per atom) = -8.80
# - E_form (uncorrected) (eV per atom) = -1.77